Record 1
This record from the Alexandria database describes crystalline Nb2PbS2 at its relaxed geometry. The functional is PBE-GGA.

Cell lengths 7.7290, 7.7290, 3.1253 Å; angles 90.00, 90.00, 90.00 degrees
Atoms (fractional coordinates):
Nb1 0.1321 0.3679 0.0000
Nb2 0.3679 0.8679 0.0000
Nb3 0.6321 0.1321 0.0000
Nb4 0.8679 0.6321 0.0000
Pb1 0.0000 0.0000 0.0000
Pb2 0.5000 0.5000 0.0000
S1 0.1345 0.6345 0.5000
S2 0.3655 0.1345 0.5000
S3 0.6345 0.8655 0.5000
S4 0.8655 0.3655 0.5000

Values from the calculation:
ΔE_f (raw): -1.41 eV per formula unit
Spin magnetization: 0.00 μB/cell
Offset from the most stable computed form: 0.0 kJ per mole of atoms

***

Record 2
This record from the Alexandria database describes crystalline BaFe2Co at its relaxed geometry. The functional is PBE-GGA.

Cell lengths 5.6030, 5.6030, 5.6030 Å; angles 147.87, 124.85, 65.28 degrees
Atoms (fractional coordinates):
Ba1 0.0000 0.0000 0.0000
Fe1 0.4742 0.4742 0.0000
Fe2 0.6972 0.1972 0.5000
Co1 0.2865 0.7865 0.5000

Values from the calculation:
Formation energy from the elements: 0.91 eV/atom
Spin magnetization: 6.92 μB/cell
Offset from the most stable computed form: 56.5 kJ per mole of atoms

***

Record 3
This record from the Alexandria database describes crystalline DyHo2Al3 at its relaxed geometry. The functional is PBE-GGA.

Cell lengths 3.5726, 3.5726, 10.8425 Å; angles 90.00, 90.00, 90.00 degrees
Atoms (fractional coordinates):
Dy1 0.0000 0.0000 0.0000
Ho1 0.0000 0.0000 0.3340
Ho2 0.0000 0.0000 0.6660
Al1 0.5000 0.5000 0.1683
Al2 0.5000 0.5000 0.5000
Al3 0.5000 0.5000 0.8317

Values from the calculation:
Formation energy from the elements: -0.40 eV/atom
Spin magnetization: 0.00 μB/cell

***

Record 4
This record from the Alexandria database describes crystalline Hg12Bi3Se5 at its relaxed geometry. The functional is PBE-GGA.

Cell lengths 14.8291, 14.8291, 14.8291 Å; angles 109.47, 109.47, 109.47 degrees
Atoms (fractional coordinates):
Hg1 0.0536 0.2264 0.1334
Hg2 0.0536 0.3272 0.9203
Hg3 0.0797 0.6334 0.4069
Hg4 0.0797 0.9464 0.6728
Hg5 0.0931 0.7264 0.6728
Hg6 0.0931 0.8666 0.4203
Hg7 0.1334 0.0536 0.2264
Hg8 0.1334 0.5797 0.9069
Hg9 0.1728 0.2264 0.5931
Hg10 0.1728 0.4464 0.5797
Hg11 0.2264 0.1334 0.0536
Hg12 0.2264 0.5931 0.1728
Hg13 0.2736 0.3272 0.9069
Hg14 0.2736 0.4464 0.3666
Hg15 0.3272 0.9069 0.2736
Hg16 0.3272 0.9203 0.0536
Hg17 0.3666 0.2736 0.4464
Hg18 0.3666 0.5931 0.9203
Hg19 0.4069 0.0797 0.6334
Hg20 0.4069 0.8272 0.7736
Hg21 0.4203 0.0931 0.8666
Hg22 0.4203 0.8272 0.5536
Hg23 0.4464 0.3666 0.2736
Hg24 0.4464 0.5797 0.1728
Hg25 0.5536 0.4203 0.8272
Hg26 0.5536 0.6334 0.7264
Hg27 0.5797 0.1728 0.4464
Hg28 0.5797 0.9069 0.1334
Hg29 0.5931 0.1728 0.2264
Hg30 0.5931 0.9203 0.3666
Hg31 0.6334 0.4069 0.0797
Hg32 0.6334 0.7264 0.5536
Hg33 0.6728 0.0797 0.9464
Hg34 0.6728 0.0931 0.7264
Hg35 0.7264 0.5536 0.6334
Hg36 0.7264 0.6728 0.0931
Hg37 0.7736 0.4069 0.8272
Hg38 0.7736 0.8666 0.9464
Hg39 0.8272 0.5536 0.4203
Hg40 0.8272 0.7736 0.4069
Hg41 0.8666 0.4203 0.0931
Hg42 0.8666 0.9464 0.7736
Hg43 0.9069 0.1334 0.5797
Hg44 0.9069 0.2736 0.3272
Hg45 0.9203 0.0536 0.3272
Hg46 0.9203 0.3666 0.5931
Hg47 0.9464 0.6728 0.0797
Hg48 0.9464 0.7736 0.8666
Bi1 0.1250 0.2500 0.3750
Bi2 0.1250 0.3750 0.7500
Bi3 0.2500 0.3750 0.1250
Bi4 0.2500 0.8750 0.6250
Bi5 0.3750 0.1250 0.2500
Bi6 0.3750 0.7500 0.1250
Bi7 0.6250 0.2500 0.8750
Bi8 0.6250 0.8750 0.7500
Bi9 0.7500 0.1250 0.3750
Bi10 0.7500 0.6250 0.8750
Bi11 0.8750 0.6250 0.2500
Bi12 0.8750 0.7500 0.6250
Se1 0.0000 0.0000 0.0000
Se2 0.0000 0.0000 0.5000
Se3 0.0000 0.5000 0.0000
Se4 0.0000 0.5000 0.5000
Se5 0.1250 0.7500 0.8750
Se6 0.1250 0.8750 0.2500
Se7 0.2500 0.1250 0.8750
Se8 0.2500 0.6250 0.3750
Se9 0.3750 0.2500 0.6250
Se10 0.3750 0.6250 0.7500
Se11 0.5000 0.0000 0.0000
Se12 0.5000 0.0000 0.5000
Se13 0.5000 0.5000 0.0000
Se14 0.5000 0.5000 0.5000
Se15 0.6250 0.3750 0.2500
Se16 0.6250 0.7500 0.3750
Se17 0.7500 0.3750 0.6250
Se18 0.7500 0.8750 0.1250
Se19 0.8750 0.1250 0.7500
Se20 0.8750 0.2500 0.1250

Values from the calculation:
ΔE_f (raw): 1.14 eV per formula unit
Spin magnetization: 0.00 μB/cell